Material: CaP2NO
Method: DFT, PBE
State: relaxed

Geometry as POSCAR:
```
CaP2NO
1.0
6.020 0.000 0.000
0.000 6.020 0.000
0.000 0.000 4.200
P Ca O N
2 1 1 1
Direct
0.000 0.500 0.000
0.500 0.000 0.000
0.000 0.000 0.000
0.000 0.000 0.500
0.500 0.500 0.500
```

Output
Size of the total moment: 2.97 μB per formula unit
ρ: 1.4 g cm⁻³
Relative energy among the computed polymorphs: 7.833 eV per formula unit
Final energy: -3.62 eV per atom
Fermi-level density of states: 0.668 states/eV per atom
E_form (uncorrected): 1.602 eV per atom